# Tm3In5

A relaxed Tm3In5 crystal (PBE-GGA, the Alexandria database).

Lattice parameters (Å, degrees): 6.321 6.321 10.321 90.00 90.00 101.46
Atoms (fractional coordinates):
Tm  0.793  0.207  0.500
In  0.304  0.304  0.958
In  0.000  0.000  0.750
Tm  0.207  0.793  0.000
In  0.493  0.932  0.250
Tm  0.207  0.793  0.500
In  0.932  0.493  0.250
In  0.068  0.507  0.750
In  0.696  0.696  0.458
In  0.696  0.696  0.042
In  0.000  0.000  0.250
In  0.507  0.068  0.750
Tm  0.793  0.207  0.000
Tm  0.611  0.611  0.750
Tm  0.389  0.389  0.250
In  0.304  0.304  0.542

energy above the lowest structure with this stoichiometry = 0.000 eV per atom
space group = Cmcm (63)

# Tm5In

A relaxed Tm5In crystal (PBE-GGA, the Alexandria database).

Lattice parameters (Å, degrees): 4.800 4.809 7.763 108.04 90.00 90.00
Atoms (fractional coordinates):
Tm  0.500  0.831  0.662
Tm  0.500  0.169  0.338
In  0.000  0.000  0.000
Tm  0.000  0.337  0.675
Tm  0.500  0.500  0.000
Tm  0.000  0.663  0.325

energy above the lowest structure with this stoichiometry = 0.000 eV per atom
space group = Cmmm (65)

# Tm2In

A relaxed Tm2In crystal (PBE-GGA, the Alexandria database).

Lattice parameters (Å, degrees): 5.317 5.317 6.644 90.00 90.00 119.96
Atoms (fractional coordinates):
In  0.667  0.833  0.750
Tm  0.666  0.834  0.250
Tm  0.334  0.166  0.750
Tm  0.000  0.500  0.500
Tm  0.000  0.500  0.000
In  0.333  0.167  0.250

space group = P6_3/mmc (194)
calculated total energy = -4.238 eV per atom

# Tm5In

A relaxed Tm5In crystal (PBE-GGA, the Alexandria database).

Lattice parameters (Å, degrees): 4.826 5.989 6.805 107.01 90.00 113.76
Atoms (fractional coordinates):
Tm  0.022  0.044  0.056
Tm  0.036  0.072  0.560
In  0.694  0.389  0.889
Tm  0.353  0.706  0.218
Tm  0.694  0.389  0.389
Tm  0.367  0.734  0.722

energy above the lowest structure with this stoichiometry = 0.045 eV per atom
space group = C2/m (12)